Pr2BiCl3 after structural relaxation, computed with PBE.

Calculated values
* uncorrected energy: -58.930 eV per cell
* formation energy without anion corrections: -1748 meV/atom
* calculated density: 4.92 g/cm³

abc: 8.526 8.526 11.639
angles: 108.33 108.33 30.27
Atoms (fractional coordinates):
Pr 0.019 0.019 0.190
Pr 0.266 0.266 0.165
Pr 0.734 0.734 0.835
Pr 0.981 0.981 0.810
Bi 0.384 0.384 0.977
Bi 0.616 0.616 0.023
Cl 0.132 0.132 0.722
Cl 0.193 0.193 0.341
Cl 0.468 0.468 0.662
Cl 0.532 0.532 0.338
Cl 0.807 0.807 0.659
Cl 0.868 0.868 0.278


LiFeCl5 after structural relaxation, computed with PBE.

Calculated values
* uncorrected energy: -51.374 eV per cell
* formation energy without anion corrections: -868 meV/atom
* calculated density: 1.99 g/cm³

abc: 7.071 7.390 9.079
angles: 106.77 112.72 98.51
Atoms (fractional coordinates):
Li 0.000 0.000 0.000
Li 0.000 0.000 0.500
Fe 0.335 0.658 0.254
Fe 0.665 0.342 0.746
Cl 0.044 0.903 0.738
Cl 0.111 0.670 0.363
Cl 0.300 0.361 0.096
Cl 0.339 0.862 0.123
Cl 0.346 0.245 0.530
Cl 0.654 0.755 0.470
Cl 0.661 0.138 0.877
Cl 0.700 0.639 0.904
Cl 0.889 0.330 0.637
Cl 0.956 0.097 0.262


TbHoTh after structural relaxation, computed with PBE.

Calculated values
* uncorrected energy: -33.089 eV per cell
* polymorph energy (0 for the lowest one): 9 meV/atom
* calculated density: 9.71 g/cm³
* ΔE_f: 28 meV/atom

abc: 7.887 7.887 7.093
angles: 102.60 102.60 26.23
Atoms (fractional coordinates):
Tb 0.000 0.000 0.000
Tb 0.000 0.000 0.500
Ho 0.330 0.330 0.669
Ho 0.670 0.670 0.331
Th 0.333 0.333 0.163
Th 0.667 0.667 0.837


CdSi3Pb after structural relaxation, computed with PBE.

Calculated values
* uncorrected energy: -15.368 eV per cell
* polymorph energy (0 for the lowest one): 0 meV/atom
* formation energy without anion corrections: 1105 meV/atom
* calculated density: 5.13 g/cm³

abc: 5.075 5.075 5.075
angles: 90.00 90.00 90.00
Atoms (fractional coordinates):
Cd 0.000 0.000 0.000
Si 0.000 0.000 0.500
Si 0.000 0.500 0.000
Si 0.500 0.000 0.000
Pb 0.500 0.500 0.500


La2AlAu after structural relaxation, computed with PBE.

Calculated values
* uncorrected energy: -19.047 eV per cell
* calculated density: 7.86 g/cm³
* ΔE_f: -543 meV/atom

abc: 6.333 6.333 6.333
angles: 145.11 132.56 60.23
Atoms (fractional coordinates):
La 0.000 0.000 0.000
La 0.713 0.213 0.500
Al 0.427 0.427 0.000
Au 0.257 0.757 0.500


LaZnIn after structural relaxation, computed with PBE.

Calculated values
* uncorrected energy: -20.032 eV per cell
* calculated density: 6.69 g/cm³
* ΔE_f: -359 meV/atom

abc: 4.532 4.532 7.713
angles: 90.00 90.00 90.00
Atoms (fractional coordinates):
La 0.250 0.250 0.168
La 0.750 0.750 0.832
Zn 0.250 0.250 0.743
Zn 0.750 0.750 0.257
In 0.250 0.750 0.500
In 0.750 0.250 0.500